Here is an optimized crystal structure of KTbPb4 from the Alexandria database. Energies are from PBE-GGA.

Calculated formation energy = -0.70 eV per formula unit

Cell and atoms, written as POSCAR:
```
KTbPb4
1.0
-5.766 2.572 -1.694
-4.619 0.935 4.530
-1.553 6.065 1.881
Pb K Tb
4 1 1
Direct
0.626 0.626 0.122
0.626 0.122 0.626
0.626 0.626 0.626
0.122 0.626 0.626
0.250 0.250 0.250
0.000 0.000 0.000
```

***

Here is an optimized crystal structure of ThU2Tc2 from the Alexandria database. Energies are from PBE-GGA.

Calculated formation energy = 0.91 eV per formula unit

Cell and atoms, written as POSCAR:
```
ThU2Tc2
1.0
6.040 -1.118 -0.381
-4.168 4.512 -0.381
0.927 1.680 9.746
Th U Tc
2 4 4
Direct
0.915 0.085 0.250
0.085 0.915 0.750
0.322 0.678 0.514
0.678 0.322 0.014
0.678 0.322 0.486
0.322 0.678 0.986
0.585 0.415 0.250
0.777 0.223 0.750
0.223 0.777 0.250
0.415 0.585 0.750
```

***

Here is an optimized crystal structure of Pa2TiMn from the Alexandria database. Energies are from PBE-GGA.

Calculated formation energy = 1.48 eV per formula unit
E above lowest polymorph = 154 meV/atom

Cell and atoms, written as POSCAR:
```
Pa2TiMn
1.0
-2.750 1.192 -0.346
-1.863 -1.092 -2.107
-5.166 -6.435 5.743
Pa Mn Ti
2 1 1
Direct
0.093 0.093 0.720
0.907 0.907 0.280
0.500 0.500 0.500
0.000 0.000 0.000
```

***

Here is an optimized crystal structure of TbEr2Tm4 from the Alexandria database. Energies are from PBE-GGA.

Calculated formation energy = 0.56 eV per formula unit
E above lowest polymorph = 78 meV/atom

Cell and atoms, written as POSCAR:
```
TbEr2Tm4
1.0
-5.313 2.198 7.844
-6.531 -1.634 -4.872
6.009 -4.215 3.906
Tb Er Tm
2 4 8
Direct
0.984 0.864 0.668
0.266 0.433 0.380
0.484 0.245 0.550
0.766 0.818 0.263
0.625 0.489 0.364
0.125 0.190 0.565
0.903 0.170 0.192
0.404 0.637 0.156
0.846 0.505 0.735
0.702 0.145 0.807
0.201 0.824 0.988
0.347 0.037 0.765
0.548 0.854 0.942
0.049 0.537 0.124
```

***

Here is an optimized crystal structure of PuAs2Pb from the Alexandria database. Energies are from PBE-GGA.

Calculated formation energy = -0.24 eV per formula unit
E above lowest polymorph = 337 meV/atom

Cell and atoms, written as POSCAR:
```
PuAs2Pb
1.0
-2.398 -2.031 -2.820
1.134 -3.831 -1.367
-4.821 -5.502 4.900
Pb As Pu
1 2 1
Direct
0.000 0.000 0.000
0.111 0.111 0.667
0.889 0.889 0.333
0.500 0.500 0.500
```

***

Here is an optimized crystal structure of CaHfOs2 from the Alexandria database. Energies are from PBE-GGA.

Calculated formation energy = 0.54 eV per formula unit
E above lowest polymorph = 192 meV/atom

Cell and atoms, written as POSCAR:
```
CaHfOs2
1.0
0.951 0.322 4.562
-2.659 -2.260 3.105
1.713 -3.691 2.295
Hf Ca Os
1 1 2
Direct
0.500 0.500 0.500
0.000 0.000 0.000
0.250 0.250 0.250
0.750 0.750 0.750
```

***

Here is an optimized crystal structure of AlIn2Fe from the Alexandria database. Energies are from PBE-GGA.

Calculated formation energy = 1.11 eV per formula unit

Cell and atoms, written as POSCAR:
```
AlIn2Fe
1.0
2.980 0.009 0.000
-0.025 2.980 0.000
0.000 0.000 8.604
Al Fe In
1 1 2
Direct
0.500 0.500 0.250
0.500 0.500 0.750
0.000 0.000 0.973
0.000 0.000 0.527
```

***

Here is an optimized crystal structure of PuZrIn2 from the Alexandria database. Energies are from PBE-GGA.

Calculated formation energy = -0.91 eV per formula unit
E above lowest polymorph = 19 meV/atom

Cell and atoms, written as POSCAR:
```
PuZrIn2
1.0
-2.900 -1.064 -0.034
1.389 -3.850 1.986
-1.094 2.788 6.167
Pu Zr In
1 1 2
Direct
0.000 0.500 0.000
0.000 0.500 0.500
0.500 0.000 0.269
0.500 0.000 0.731
```

***

Here is an optimized crystal structure of NaAcPd4 from the Alexandria database. Energies are from PBE-GGA.

Calculated formation energy = -3.51 eV per formula unit

Cell and atoms, written as POSCAR:
```
NaAcPd4
1.0
-5.454 -0.838 0.467
-2.542 -3.616 -3.337
-1.901 -4.786 2.038
Na Ac Pd
1 1 4
Direct
0.000 0.000 0.000
0.250 0.250 0.250
0.625 0.625 0.124
0.625 0.124 0.625
0.625 0.625 0.625
0.124 0.625 0.625
```

***

Here is an optimized crystal structure of Zr3BiH from the Alexandria database. Energies are from PBE-GGA.

E above lowest polymorph = 13 meV/atom

Cell and atoms, written as POSCAR:
```
Zr3BiH
1.0
-4.811 2.336 -2.018
-4.955 -2.046 1.986
0.044 2.252 7.100
H Bi Zr
2 2 6
Direct
0.518 0.734 0.627
0.318 0.934 0.012
0.962 0.682 0.482
0.266 0.378 0.157
0.913 0.329 0.819
0.697 0.933 0.030
0.517 0.112 0.608
0.366 0.782 0.319
0.307 0.723 0.819
0.859 0.275 0.319
```

***

Here is an optimized crystal structure of Pm4PrHo from the Alexandria database. Energies are from PBE-GGA.

Calculated formation energy = 1.54 eV per formula unit
E above lowest polymorph = 148 meV/atom

Cell and atoms, written as POSCAR:
```
Pm4PrHo
1.0
-2.985 5.865 1.210
-5.772 0.182 3.380
-0.157 2.453 6.224
Pr Ho Pm
1 1 4
Direct
0.250 0.250 0.250
0.000 0.000 0.000
0.626 0.626 0.123
0.626 0.123 0.626
0.626 0.626 0.626
0.123 0.626 0.626
```

***

Here is an optimized crystal structure of Pm3SmCd from the Alexandria database. Energies are from PBE-GGA.

Calculated formation energy = -0.55 eV per formula unit
E above lowest polymorph = 0 meV/atom

Cell and atoms, written as POSCAR:
```
Pm3SmCd
1.0
3.763 0.000 0.000
1.881 6.550 0.472
0.000 -0.271 12.956
Pm Sm Cd
6 2 2
Direct
0.146 0.708 0.446
0.365 0.268 0.026
0.039 0.921 0.190
0.854 0.292 0.554
0.961 0.079 0.810
0.635 0.732 0.974
0.228 0.545 0.751
0.772 0.455 0.249
0.558 0.885 0.628
0.442 0.115 0.372
```

***

no.,density (Mg/m³),electronic total energy (eV per atom)
1,8.63,-3.5430
2,13.13,-9.9641
3,12.02,-8.6438
4,9.08,-4.4403
5,7.64,-6.8958
6,13.80,-8.4689
7,6.79,-4.1441
8,9.74,-7.3163
9,9.34,-4.9513
10,8.19,-6.9048
11,6.94,-4.4706
12,7.25,-4.0866